--- 1 ---
{"formula": "ScGaH", "functional": "PBE", "state": "relaxed", "lattice": [[-2.282, 1.498, -0.948], [-0.665, -2.156, -1.806], [-1.518, -1.870, 5.103]], "species": ["Ga", "Sc", "H"], "fractional_positions": [[0.004, 0.004, 0.009], [0.726, 0.726, 0.452], [0.270, 0.270, 0.539]]}


--- 2 ---
{"formula": "ScGaH", "functional": "PBE", "state": "relaxed", "lattice": [[3.046, 0.000, 0.000], [0.000, 3.849, 0.000], [-1.523, 0.000, 7.311]], "species": ["Ga", "Ga", "H", "H", "Sc", "Sc"], "fractional_positions": [[0.278, 0.750, 0.557], [0.722, 0.250, 0.443], [0.963, 0.750, 0.927], [0.037, 0.250, 0.073], [0.417, 0.250, 0.835], [0.583, 0.750, 0.165]]}


--- 3 ---
{"formula": "ScGaH", "functional": "PBE", "state": "relaxed", "lattice": [[3.517, -0.420, -0.441], [0.470, 3.947, -0.016], [-1.057, 0.150, 5.790]], "species": ["Sc", "Sc", "Ga", "Ga", "H", "H"], "fractional_positions": [[0.393, 0.493, 0.704], [0.069, 0.993, 0.054], [0.794, 0.993, 0.507], [0.667, 0.493, 0.251], [0.475, 0.993, 0.864], [0.987, 0.493, 0.893]]}


3 ends up most stable, edging out the next structure by 363 meV per atom.


--- 1 ---
{"formula": "ScGa2H", "functional": "PBE", "state": "relaxed", "lattice": [[-1.777, 3.427, -4.372], [-5.531, -0.673, 1.721], [-3.323, 4.431, 0.933]], "species": ["Ga", "Ga", "Ga", "Ga", "Sc", "Sc", "H", "H"], "fractional_positions": [[0.486, 0.125, 0.250], [0.875, 0.736, 0.750], [0.264, 0.625, 0.250], [0.375, 0.514, 0.750], [0.000, 0.000, 0.000], [0.750, 0.250, 0.500], [0.250, 0.750, 0.500], [0.500, 0.500, 0.000]]}


--- 2 ---
{"formula": "ScGa2H", "functional": "PBE", "state": "relaxed", "lattice": [[-4.303, -0.833, -1.160], [-2.918, 3.434, -0.502], [-1.492, 1.122, -4.132]], "species": ["Sc", "H", "Ga", "Ga"], "fractional_positions": [[0.500, 0.500, 0.500], [0.000, 0.000, 0.000], [0.250, 0.250, 0.250], [0.750, 0.750, 0.750]]}


1 ends up most stable, edging out the next structure by 239 meV per atom.


--- 1 ---
{"formula": "ScZnGaH2", "functional": "PBE", "state": "relaxed", "lattice": [[3.763, 0.000, 0.000], [0.000, 5.870, 0.000], [0.000, 0.000, 3.763]], "species": ["H", "H", "Zn", "Ga", "Sc"], "fractional_positions": [[0.500, 0.000, 0.000], [0.000, 0.000, 0.500], [0.500, 0.500, 0.500], [0.000, 0.500, 0.000], [0.000, 0.000, 0.000]]}


--- 2 ---
{"formula": "ScZnGaH2", "functional": "PBE", "state": "relaxed", "lattice": [[3.792, 0.000, 0.000], [0.000, 5.648, 0.000], [0.000, 0.000, 3.792]], "species": ["Ga", "Sc", "H", "H", "Zn"], "fractional_positions": [[0.500, 0.500, 0.500], [0.000, 0.500, 0.000], [0.500, 0.000, 0.000], [0.000, 0.000, 0.500], [0.000, 0.000, 0.000]]}


1 ends up most stable, edging out the next structure by 448 meV per atom.


--- 1 ---
{"formula": "GaHSe", "functional": "PBE", "state": "relaxed", "lattice": [[5.143, 0.000, 0.000], [0.000, 3.824, 0.000], [-0.417, 0.000, 12.650]], "species": ["Se", "Se", "Se", "Se", "H", "H", "H", "H", "Ga", "Ga", "Ga", "Ga"], "fractional_positions": [[0.368, 0.500, 0.213], [0.853, 0.000, 0.024], [0.853, 0.500, 0.524], [0.368, 0.000, 0.713], [0.347, 0.000, 0.441], [0.876, 0.000, 0.296], [0.347, 0.500, 0.941], [0.876, 0.500, 0.796], [0.062, 0.500, 0.702], [0.549, 0.500, 0.035], [0.062, 0.000, 0.202], [0.549, 0.000, 0.535]]}


--- 2 ---
{"formula": "GaHSe", "functional": "PBE", "state": "relaxed", "lattice": [[3.799, -0.102, 0.120], [-1.771, 6.398, 1.124], [-0.201, -1.222, 5.275]], "species": ["Se", "Se", "H", "H", "Ga", "Ga"], "fractional_positions": [[0.167, 0.835, 0.264], [0.833, 0.165, 0.736], [0.441, 0.380, 0.267], [0.559, 0.620, 0.733], [0.650, 0.801, 0.553], [0.350, 0.199, 0.447]]}


--- 3 ---
{"formula": "GaHSe", "functional": "PBE", "state": "relaxed", "lattice": [[-1.808, 3.000, -5.249], [-4.188, -4.616, -1.196], [-5.288, 2.326, 3.152]], "species": ["Se", "Se", "Se", "Se", "Ga", "Ga", "Ga", "Ga", "H", "H", "H", "H"], "fractional_positions": [[0.554, 0.329, 0.805], [0.054, 0.171, 0.195], [0.446, 0.671, 0.195], [0.946, 0.829, 0.805], [0.072, 0.784, 0.168], [0.928, 0.216, 0.832], [0.572, 0.716, 0.832], [0.428, 0.284, 0.168], [0.432, 0.858, 0.666], [0.568, 0.142, 0.334], [0.932, 0.642, 0.334], [0.068, 0.358, 0.666]]}


--- 4 ---
{"formula": "GaHSe", "functional": "PBE", "state": "relaxed", "lattice": [[3.426, 0.000, 0.000], [0.000, 3.426, 0.000], [-1.713, -1.713, 14.000]], "species": ["H", "Se", "Ga"], "fractional_positions": [[0.166, 0.166, 0.332], [0.574, 0.574, 0.147], [0.110, 0.110, 0.221]]}


1 ends up most stable, edging out the next structure by 25 meV per atom.


--- 1 ---
{"formula": "GaHSe", "functional": "PBE", "state": "relaxed", "lattice": [[3.791, 0.000, 0.000], [-1.895, 3.283, 0.000], [0.000, 0.000, 5.573]], "species": ["Ga", "Se", "H"], "fractional_positions": [[0.333, 0.667, 0.775], [0.667, 0.333, 0.568], [0.333, 0.667, 0.054]]}


--- 2 ---
{"formula": "GaHSe", "functional": "PBE", "state": "relaxed", "lattice": [[-0.297, 2.234, -5.180], [-3.676, 0.807, 0.559], [1.738, 4.518, 4.913]], "species": ["Se", "Se", "H", "H", "Ga", "Ga"], "fractional_positions": [[0.781, 0.750, 0.202], [0.219, 0.250, 0.798], [0.647, 0.750, 0.658], [0.353, 0.250, 0.342], [0.496, 0.250, 0.192], [0.504, 0.750, 0.808]]}


1 ends up most stable, edging out the next structure by 35 meV per atom.


--- 1 ---
{"formula": "GaHSe", "functional": "PBE", "state": "relaxed", "lattice": [[4.045, 0.000, 0.000], [-2.023, 6.613, -0.260], [0.000, 0.005, 5.072]], "species": ["Se", "Se", "H", "H", "Ga", "Ga"], "fractional_positions": [[0.798, 0.596, 0.951], [0.449, 0.898, 0.356], [0.507, 0.013, 0.616], [0.740, 0.481, 0.692], [0.221, 0.442, 0.245], [0.026, 0.052, 0.062]]}


--- 2 ---
{"formula": "GaHSe", "functional": "PBE", "state": "relaxed", "lattice": [[3.817, 0.000, 0.000], [0.003, 5.158, 0.000], [0.766, 1.100, 6.558]], "species": ["Ga", "Ga", "H", "H", "Se", "Se"], "fractional_positions": [[0.603, 0.589, 0.077], [0.040, 0.022, 0.398], [0.003, 0.789, 0.579], [0.639, 0.435, 0.895], [0.535, 0.321, 0.421], [0.108, 0.899, 0.054]]}


--- 3 ---
{"formula": "GaHSe", "functional": "PBE", "state": "relaxed", "lattice": [[3.800, 0.000, 0.000], [1.895, 5.943, 0.000], [1.783, 1.223, 5.877]], "species": ["H", "H", "Ga", "Ga", "Se", "Se"], "fractional_positions": [[0.514, 0.812, 0.431], [0.520, 0.153, 0.058], [0.421, 0.101, 0.320], [0.701, 0.614, 0.243], [0.757, 0.243, 0.520], [0.266, 0.708, 0.004]]}


2 ends up most stable, edging out the next structure by 74 meV per atom.